An optimized crystal structure of Ti2V3Mo2, computed with PBE-GGA.

The structure in CIF format:
```
data_Ti2V3Mo2
_cell_length_a 4.041
_cell_length_b 4.473
_cell_length_c 6.889
_cell_angle_alpha 72.49
_cell_angle_beta 72.97
_cell_angle_gamma 89.95
_symmetry_space_group_name_H-M 'P -1'
_symmetry_Int_Tables_number 2
loop_
_symmetry_equiv_pos_as_xyz
'x,y,z'
'-x,-y,-z'
loop_
_atom_site_label
_atom_site_fract_x
_atom_site_fract_y
_atom_site_fract_z
Ti1 0.116 0.121 0.270
V1 0.000 0.500 0.500
V2 0.241 0.741 0.018
Mo1 0.374 0.369 0.752
```

Output
- ΔH_f (0 K): 172 kJ/mol of formula units

=====

An optimized crystal structure of CePrPd4, computed with PBE-GGA.

The structure in CIF format:
```
data_CePrPd4
_cell_length_a 7.816
_cell_length_b 7.816
_cell_length_c 7.816
_cell_angle_alpha 90.00
_cell_angle_beta 90.00
_cell_angle_gamma 90.00
_symmetry_space_group_name_H-M 'F -4 3 m'
_symmetry_Int_Tables_number 216
_symmetry_space_group_name_Hall 'F -4 2 3'
loop_
_atom_site_label
_atom_site_fract_x
_atom_site_fract_y
_atom_site_fract_z
Ce1 0.000 0.000 0.000
Pr1 0.250 0.250 0.250
Pd1 0.125 0.125 0.625
```

Output
- ΔH_f (0 K): -409 kJ/mol of formula units

=====

An optimized crystal structure of Be2GaCo2, computed with PBE-GGA.

The structure in CIF format:
```
data_Be2GaCo2
_cell_length_a 2.896
_cell_length_b 2.896
_cell_length_c 12.483
_cell_angle_alpha 90.00
_cell_angle_beta 90.00
_cell_angle_gamma 90.00
_symmetry_space_group_name_H-M 'I 4/m m m'
_symmetry_Int_Tables_number 139
_symmetry_space_group_name_Hall '-I 4 2'
loop_
_atom_site_label
_atom_site_fract_x
_atom_site_fract_y
_atom_site_fract_z
Be1 0.000 0.500 0.250
Ga1 0.000 0.000 0.000
Co1 0.000 0.000 0.388
```

Output
- ΔH_f (0 K): -3 kJ/mol of formula units

=====

Number 1: Fermi-level density of states 1.38 states/eV/atom. Number 2: Fermi-level density of states 1.31 states/eV/atom. Number 3: Fermi-level density of states 0.65 states/eV/atom.